{
  "formula": "BeFeAs2O6",
  "functional": "PBE+U",
  "state": "optimized geometry",
  "total_energy_ev_per_atom": -6.23,
  "vol_a3_per_atom": 11.31,
  "cell": [[-4.422, 2.509, -1.225], [-4.343, -0.835, 5.442], [-0.144, 5.819, 3.911]],
  "species": ["Be", "Be", "Fe", "Fe", "As", "As", "As", "As", "O", "O", "O", "O", "O", "O", "O", "O", "O", "O", "O", "O"],
  "fractional_positions": [[0.250, 0.218, 0.782], [0.750, 0.782, 0.218], [0.250, 0.865, 0.135], [0.750, 0.135, 0.865], [0.348, 0.853, 0.605], [0.152, 0.395, 0.147], [0.652, 0.147, 0.395], [0.848, 0.605, 0.853], [0.173, 0.997, 0.807], [0.327, 0.193, 0.003], [0.827, 0.003, 0.193], [0.673, 0.807, 0.997], [0.462, 0.761, 0.377], [0.038, 0.623, 0.239], [0.538, 0.239, 0.623], [0.962, 0.377, 0.761], [0.023, 0.779, 0.635], [0.477, 0.365, 0.221], [0.977, 0.221, 0.365], [0.523, 0.635, 0.779]]
}